{
  "formula": "KCdHg2Sb",
  "functional": "PBE-GGA",
  "state": "optimized geometry",
  "cell": [[4.839, 0.000, 0.000], [0.000, 4.843, 0.000], [0.000, 0.000, 12.894]],
  "species": ["K", "K", "Cd", "Cd", "Hg", "Hg", "Hg", "Hg", "Sb", "Sb"],
  "frac_coords": [[0.000, 0.000, 0.000], [0.500, 0.500, 0.500], [0.000, 0.500, 0.750], [0.500, 0.000, 0.250], [0.000, 0.000, 0.391], [0.000, 0.500, 0.259], [0.500, 0.000, 0.759], [0.500, 0.500, 0.891], [0.000, 0.000, 0.615], [0.500, 0.500, 0.115]],
  "e_form_raw_ev_per_atom": -0.194,
  "dft_energy_ev_per_atom": -1.54,
  "de_polymorph_mev_per_atom": 0
}